Record 1
The following is a PBEsol calculation of a relaxed structure of LiCuC2O5, from Alexandria via LeMat-Bulk.

Output
raw formation energy: -11.38 eV/f.u.
magnetization: 0.1 μB per formula unit
E_tot: -7.024 eV/atom
space-group type: No. 15

Unit cell a=7.2932 b=7.2932 c=9.9896 alpha=66.87 beta=66.87 gamma=94.54
Closest atoms and distances in Å follow each position.
Fractional coordinates of all 36 atoms:
O: 0.6007 0.7383 0.9768  2 C 1.37-1.43
O: 0.1442 0.1235 0.2927  1 C 1.23
O: 0.2994 0.0843 0.5785  1 C 1.26
O: 0.7006 0.9157 0.4215  1 C 1.26
O: 0.2031 0.5469 0.6953  1 C 1.25
O: 0.9157 0.7006 0.9215  1 C 1.26
O: 0.2696 0.7328 0.0662  1 C 1.29
O: 0.5469 0.2031 0.1953  1 C 1.25
O: 0.3993 0.2617 0.0232  2 C 1.37-1.43
O: 0.7383 0.6007 0.4768  2 C 1.37-1.43
O: 0.7969 0.4531 0.3047  1 C 1.25
O: 0.7304 0.2672 0.9338  1 C 1.29
O: 0.2617 0.3993 0.5232  2 C 1.37-1.43
O: 0.1235 0.1442 0.7927  1 C 1.23
O: 0.2672 0.7304 0.4338  1 C 1.29
O: 0.0843 0.2994 0.0785  1 C 1.26
O: 0.4531 0.7969 0.8047  1 C 1.25
O: 0.7328 0.2696 0.5662  1 C 1.29
O: 0.8765 0.8558 0.2073  1 C 1.23
O: 0.8558 0.8765 0.7073  1 C 1.23
C: 0.7769 0.8061 0.3547  2 O 1.23-1.26
C: 0.7601 0.4378 0.4422  3 O 1.25-1.37
C: 0.8061 0.7769 0.8547  2 O 1.23-1.26
C: 0.2399 0.5622 0.5578  3 O 1.25-1.37
C: 0.1939 0.2231 0.1453  2 O 1.23-1.26
C: 0.2231 0.1939 0.6453  2 O 1.23-1.26
C: 0.4378 0.7601 0.9422  3 O 1.25-1.37
C: 0.5622 0.2399 0.0578  3 O 1.25-1.37
Li: 0.2977 0.0275 0.4074  4 O 1.89-2.06
Li: 0.7023 0.9725 0.5926  4 O 1.89-2.06
Li: 0.9725 0.7023 0.0926  4 O 1.89-2.06
Li: 0.0275 0.2977 0.9074  4 O 1.89-2.06
Cu: 0.7796 0.2204 0.2500  4 O 1.99-2.06
Cu: 0.2759 0.7241 0.2500  2 O 1.83
Cu: 0.2204 0.7796 0.7500  4 O 1.99-2.06
Cu: 0.7241 0.2759 0.7500  2 O 1.83



Record 2
The following is a PBEsol calculation of a relaxed structure of NbReCl3, from Alexandria via LeMat-Bulk.

Output
raw formation energy: 4.21 eV/f.u.
magnetization: 4.7 μB per formula unit
E_tot: -5.193 eV/atom
space-group type: No. 221

Unit cell a=4.8659 b=4.8659 c=4.8659 alpha=90.00 beta=90.00 gamma=90.00
Closest atoms and distances in Å follow each position.
Fractional coordinates of all 5 atoms:
Nb: 0.0000 0.0000 0.0000  6 Cl 2.43
Re: 0.5000 0.5000 0.5000  12 Cl 3.44
Cl: 0.0000 0.0000 0.5000  2 Nb 2.43
Cl: 0.0000 0.5000 0.0000  2 Nb 2.43
Cl: 0.5000 0.0000 0.0000  2 Nb 2.43



Record 3
The following is a PBEsol calculation of a relaxed structure of TlReBr, from Alexandria via LeMat-Bulk.

Output
polymorph energy (0 for the lowest one): 0.0 meV/atom
raw formation energy: 2.32 eV/f.u.
magnetization: 0.0 μB per formula unit
E_tot: -5.170 eV/atom
space-group type: No. 156

Unit cell a=3.0644 b=3.0644 c=7.7114 alpha=90.00 beta=90.00 gamma=120.00
Closest atoms and distances in Å follow each position.
Fractional coordinates of all 3 atoms:
Re: 0.6667 0.3333 0.6972  3 Br 2.54
Tl: 0.3333 0.6667 0.3686  6 Tl 3.06, 3 Re 3.09
Br: 0.0000 0.0000 0.9342  3 Re 2.54



Record 4
The following is a PBEsol calculation of a relaxed structure of BaNd2CoS5, from Alexandria via LeMat-Bulk.

Output
raw formation energy: -15.31 eV/f.u.
magnetization: 3.0 μB per formula unit
E_tot: -6.384 eV/atom
space-group type: No. 140

Unit cell a=7.7390 b=8.5937 c=7.7390 alpha=63.24 beta=90.00 gamma=116.76
Closest atoms and distances in Å follow each position.
Fractional coordinates of all 18 atoms:
Ba: 0.7500 0.5000 0.2500  10 S 3.31-3.32
Ba: 0.2500 0.5000 0.7500  10 S 3.31-3.32
Co: 0.7500 0.5000 0.7500  4 S 2.20
Co: 0.2500 0.5000 0.2500  4 S 2.20
S: 0.0097 0.7274 0.4903  1 Co 2.20
S: 0.7178 0.7274 0.7822  1 Co 2.20
S: 0.4903 0.2726 0.7178  1 Co 2.20
S: 0.2822 0.2726 0.2178  1 Co 2.20
S: 0.7822 0.2726 0.0097  1 Co 2.20
S: 0.5097 0.7274 0.2822  1 Co 2.20
S: 0.2178 0.7274 0.9903  1 Co 2.20
S: 0.0000 0.0000 0.0000  4 Nd 2.90
S: 0.5000 0.0000 0.5000  4 Nd 2.90
S: 0.9903 0.2726 0.5097  1 Co 2.20
Nd: 0.3385 0.0000 0.1615  8 S 2.78-2.99
Nd: 0.1615 0.0000 0.6615  8 S 2.78-2.99
Nd: 0.8385 0.0000 0.3385  8 S 2.78-2.99
Nd: 0.6615 0.0000 0.8385  8 S 2.78-2.99



Record 5
The following is a PBEsol calculation of a relaxed structure of CaTa2Al, from Alexandria via LeMat-Bulk.

Output
energy relative to the elements: 0.41 eV/atom
magnetization: 0.0 μB per formula unit
E_tot: -7.421 eV/atom
space-group type: No. 166

Unit cell a=2.9571 b=2.9571 c=10.3639 alpha=81.80 beta=81.80 gamma=60.00
Closest atoms and distances in Å follow each position.
Fractional coordinates of all 4 atoms:
Ta: 0.2420 0.2420 0.2741  3 Al 2.87, 6 Ta 2.96
Ta: 0.7580 0.7580 0.7259  3 Al 2.87, 6 Ta 2.96
Al: 0.5000 0.5000 0.5000  6 Ta 2.87, 6 Al 2.96
Ca: 0.0000 0.0000 0.0000  6 Ca 2.96, 6 Ta 3.28



Record 6
The following is a PBEsol calculation of a relaxed structure of SbTe2Pt, from Alexandria via LeMat-Bulk.

Output
raw formation energy: -0.33 eV/f.u.
magnetization: 0.0 μB per formula unit
E_tot: -4.726 eV/atom
space-group type: No. 8

Unit cell a=3.7913 b=5.5235 c=6.0238 alpha=116.18 beta=108.34 gamma=90.00
Closest atoms and distances in Å follow each position.
Fractional coordinates of all 4 atoms:
Sb: 0.1629 0.6394 0.3258  2 Pt 2.78, 1 Te 2.96
Pt: 0.4782 0.6041 0.9565  4 Te 2.64-2.70, 2 Sb 2.78
Te: 0.8301 0.2690 0.6602  2 Pt 2.64
Te: 0.0288 0.9875 0.0576  2 Pt 2.70, 1 Sb 2.96



Record 7
The following is a PBEsol calculation of a relaxed structure of LiCo4, from Alexandria via LeMat-Bulk.

Output
energy relative to the elements: 0.16 eV/atom
magnetization: 6.1 μB per formula unit
E_tot: -6.420 eV/atom
space-group type: No. 87

Unit cell a=3.4997 b=4.2285 c=4.2285 alpha=80.14 beta=65.55 gamma=65.55
Closest atoms and distances in Å follow each position.
Fractional coordinates of all 5 atoms:
Co: 0.7996 0.6087 0.7920  9 Co 2.40-2.52, 3 Li 2.44-2.48
Co: 0.4083 0.7920 0.3913  9 Co 2.40-2.52, 3 Li 2.44-2.48
Co: 0.5917 0.2080 0.6087  9 Co 2.40-2.52, 3 Li 2.44-2.48
Co: 0.2004 0.3913 0.2080  9 Co 2.40-2.52, 3 Li 2.44-2.48
Li: 0.0000 0.0000 0.0000  12 Co 2.44-2.48



Record 8
The following is a PBEsol calculation of a relaxed structure of CrTeMo, from Alexandria via LeMat-Bulk.

Output
polymorph energy (0 for the lowest one): 67.7 meV/atom
raw formation energy: 1.74 eV/f.u.
magnetization: 0.1 μB per formula unit
E_tot: -7.933 eV/atom
space-group type: No. 216

Unit cell a=4.2718 b=4.2718 c=4.2718 alpha=60.00 beta=60.00 gamma=60.00
Closest atoms and distances in Å follow each position.
Fractional coordinates of all 3 atoms:
Te: 0.0000 0.0000 0.0000  4 Mo 2.62
Cr: 0.5000 0.5000 0.5000  4 Mo 2.62
Mo: 0.2500 0.2500 0.2500  4 Cr 2.62, 4 Te 2.62



Record 9
The following is a PBEsol calculation of a relaxed structure of Al2O3, from Alexandria via LeMat-Bulk.

Output
raw formation energy: -15.22 eV/f.u.
magnetization: 0.0 μB per formula unit
E_tot: -7.830 eV/atom
space-group type: No. 206

Unit cell a=7.7157 b=7.7157 c=7.7157 alpha=109.47 beta=109.47 gamma=109.47
Closest atoms and distances in Å follow each position.
Fractional coordinates of all 40 atoms:
Al: 0.0376 0.2500 0.2876  6 O 1.86-1.97
Al: 0.7500 0.7124 0.9624  6 O 1.86-1.97
Al: 0.2500 0.2876 0.0376  6 O 1.86-1.97
Al: 0.4624 0.7500 0.2124  6 O 1.86-1.97
Al: 0.2124 0.9624 0.2500  6 O 1.86-1.97
Al: 0.9624 0.7500 0.7124  6 O 1.86-1.97
Al: 0.7500 0.2124 0.4624  6 O 1.86-1.97
Al: 0.7124 0.4624 0.2500  6 O 1.86-1.97
Al: 0.0000 0.5000 0.0000  6 O 1.91
Al: 0.0000 0.0000 0.5000  6 O 1.91
Al: 0.5376 0.2500 0.7876  6 O 1.86-1.97
Al: 0.5000 0.5000 0.5000  6 O 1.91
Al: 0.7876 0.0376 0.7500  6 O 1.86-1.97
Al: 0.5000 0.0000 0.0000  6 O 1.91
Al: 0.2500 0.7876 0.5376  6 O 1.86-1.97
Al: 0.2876 0.5376 0.7500  6 O 1.86-1.97
O: 0.9511 0.9549 0.2249  4 Al 1.86-1.97
O: 0.0451 0.2751 0.5489  4 Al 1.86-1.97
O: 0.7263 0.7751 0.7300  4 Al 1.86-1.97
O: 0.7249 0.9511 0.4549  4 Al 1.86-1.97
O: 0.4962 0.4511 0.7263  4 Al 1.86-1.97
O: 0.9962 0.2700 0.0451  4 Al 1.86-1.97
O: 0.2751 0.0489 0.5451  4 Al 1.86-1.97
O: 0.2737 0.2249 0.2700  4 Al 1.86-1.97
O: 0.7751 0.2300 0.2263  4 Al 1.86-1.97
O: 0.2700 0.5451 0.4962  4 Al 1.86-1.97
O: 0.4549 0.0038 0.2300  4 Al 1.86-1.97
O: 0.5038 0.5489 0.2737  4 Al 1.86-1.97
O: 0.5489 0.7737 0.0038  4 Al 1.86-1.97
O: 0.7737 0.5038 0.0489  4 Al 1.86-1.97
O: 0.2263 0.4962 0.9511  4 Al 1.86-1.97
O: 0.2300 0.7263 0.2751  4 Al 1.86-1.97
O: 0.7700 0.2737 0.7249  4 Al 1.86-1.97
O: 0.7300 0.4549 0.5038  4 Al 1.86-1.97
O: 0.9549 0.7249 0.4511  4 Al 1.86-1.97
O: 0.0489 0.0451 0.7751  4 Al 1.86-1.97
O: 0.5451 0.9962 0.7700  4 Al 1.86-1.97
O: 0.4511 0.2263 0.9962  4 Al 1.86-1.97
O: 0.0038 0.7300 0.9549  4 Al 1.86-1.97
O: 0.2249 0.7700 0.7737  4 Al 1.86-1.97



Record 10
The following is a PBEsol calculation of a relaxed structure of Ca2CuPt, from Alexandria via LeMat-Bulk.

Output
energy relative to the elements: -0.31 eV/atom
magnetization: 0.0 μB per formula unit
E_tot: -4.198 eV/atom
space-group type: No. 119

Unit cell a=4.1555 b=4.1555 c=5.5025 alpha=112.18 beta=112.18 gamma=90.00
Closest atoms and distances in Å follow each position.
Fractional coordinates of all 4 atoms:
Ca: 0.7500 0.2500 0.5000  4 Pt 2.94, 4 Cu 3.12, 4 Ca 3.12
Ca: 0.0000 0.0000 0.0000  4 Cu 2.94, 4 Ca 3.12, 4 Pt 3.12
Cu: 0.5000 0.5000 0.0000  8 Ca 2.94-3.12, 4 Pt 3.12
Pt: 0.2500 0.7500 0.5000  8 Ca 2.94-3.12, 4 Cu 3.12



Record 11
The following is a PBEsol calculation of a relaxed structure of HgPbBr2, from Alexandria via LeMat-Bulk.

Output
polymorph energy (0 for the lowest one): 91.8 meV/atom
raw formation energy: -1.79 eV/f.u.
magnetization: 0.0 μB per formula unit
E_tot: -2.525 eV/atom
space-group type: No. 225

Unit cell a=5.3591 b=5.3591 c=5.3591 alpha=60.00 beta=60.00 gamma=60.00
Closest atoms and distances in Å follow each position.
Fractional coordinates of all 4 atoms:
Br: 0.7500 0.7500 0.7500  4 Hg 3.28, 4 Pb 3.28
Br: 0.2500 0.2500 0.2500  4 Hg 3.28, 4 Pb 3.28
Hg: 0.5000 0.5000 0.5000  8 Br 3.28
Pb: 0.0000 0.0000 0.0000  8 Br 3.28